Record 1
Material: Sc6GaRu5
Method: DFT, GGA-PBE
State: relaxed

abc: 7.890 7.890 7.890
angles: 146.43 131.15 60.58
Sites, in units of the cell vectors:
Sc 0.071 0.328 0.743
Sc 0.236 0.000 0.236
Sc 0.414 0.672 0.743
Sc 0.586 0.328 0.257
Sc 0.764 0.000 0.764
Sc 0.929 0.672 0.257
Ga 0.500 0.500 0.000
Ru 0.000 0.500 0.500
Ru 0.167 0.167 0.000
Ru 0.338 0.838 0.500
Ru 0.662 0.162 0.500
Ru 0.833 0.833 0.000

Results
symmetry = No. 71
N(E_F) = 0.346 states/eV/atom
density = 6.92 g/cm3
size of the total moment = 0.000 μB/cell
calculated formation energy = -59.1 kJ/mol of atoms

=====

Record 2
Material: Sc4Ga2Ru
Method: DFT, GGA-PBE
State: relaxed

abc: 7.586 7.586 7.586
angles: 141.76 141.76 55.19
Sites, in units of the cell vectors:
Sc 0.000 0.500 0.500
Sc 0.185 0.185 0.000
Sc 0.500 0.000 0.500
Sc 0.815 0.815 0.000
Ga 0.388 0.388 0.000
Ga 0.612 0.612 0.000
Ru 0.000 0.000 0.000

Results
symmetry = No. 139
N(E_F) = 0.532 states/eV/atom
density = 4.20 g/cm3
size of the total moment = 0.000 μB/cell
calculated formation energy = -13.6 kJ/mol of atoms

=====

Record 3
Material: Sc2Ga2SiRu5
Method: DFT, GGA-PBE
State: relaxed

abc: 9.788 9.788 3.237
angles: 90.00 90.00 90.00
Sites, in units of the cell vectors:
Sc 0.166 0.334 0.000
Sc 0.334 0.834 0.000
Sc 0.666 0.166 0.000
Sc 0.834 0.666 0.000
Ga 0.134 0.634 0.000
Ga 0.366 0.134 0.000
Ga 0.634 0.866 0.000
Ga 0.866 0.366 0.000
Si 0.000 0.000 0.000
Si 0.500 0.500 0.000
Ru 0.000 0.500 0.500
Ru 0.056 0.810 0.500
Ru 0.190 0.056 0.500
Ru 0.310 0.556 0.500
Ru 0.444 0.310 0.500
Ru 0.500 0.000 0.500
Ru 0.556 0.690 0.500
Ru 0.690 0.444 0.500
Ru 0.810 0.944 0.500
Ru 0.944 0.190 0.500

Results
symmetry = No. 127
N(E_F) = 1.062 states/eV/atom
density = 8.17 g/cm3
size of the total moment = 0.921 μB/cell
total energy = -7.4843 eV/atom

=====

Record 4
Material: Sc2GaSi2Ru5
Method: DFT, GGA-PBE
State: relaxed

abc: 9.725 9.725 3.196
angles: 90.00 90.00 90.00
Sites, in units of the cell vectors:
Sc 0.171 0.329 0.000
Sc 0.329 0.829 0.000
Sc 0.671 0.171 0.000
Sc 0.829 0.671 0.000
Ga 0.000 0.000 0.000
Ga 0.500 0.500 0.000
Si 0.130 0.630 0.000
Si 0.370 0.130 0.000
Si 0.630 0.870 0.000
Si 0.870 0.370 0.000
Ru 0.000 0.500 0.500
Ru 0.069 0.796 0.500
Ru 0.204 0.069 0.500
Ru 0.296 0.569 0.500
Ru 0.431 0.296 0.500
Ru 0.500 0.000 0.500
Ru 0.569 0.704 0.500
Ru 0.704 0.431 0.500
Ru 0.796 0.931 0.500
Ru 0.931 0.204 0.500

Results
symmetry = No. 127
N(E_F) = 0.907 states/eV/atom
density = 7.92 g/cm3
size of the total moment = 0.000 μB/cell
total energy = -7.9624 eV/atom

=====

Record 5
Material: SmScGaRu
Method: DFT, GGA-PBE
State: relaxed

abc: 4.853 4.853 4.853
angles: 60.00 60.00 60.00
Sites, in units of the cell vectors:
Sm 0.000 0.000 0.000
Sc 0.500 0.500 0.500
Ga 0.750 0.750 0.750
Ru 0.250 0.250 0.250

Results
symmetry = No. 216
N(E_F) = 0.634 states/eV/atom
density = 7.52 g/cm3
size of the total moment = 0.000 μB/cell
calculated formation energy = -40.5 kJ/mol of atoms

=====

Record 6
Material: Sc2Ga2SnRu5
Method: DFT, GGA-PBE
State: relaxed

abc: 9.836 9.836 3.410
angles: 90.00 90.00 90.00
Sites, in units of the cell vectors:
Sc 0.170 0.330 0.000
Sc 0.330 0.830 0.000
Sc 0.670 0.170 0.000
Sc 0.830 0.670 0.000
Ga 0.128 0.628 0.000
Ga 0.372 0.128 0.000
Ga 0.628 0.872 0.000
Ga 0.872 0.372 0.000
Sn 0.000 0.000 0.000
Sn 0.500 0.500 0.000
Ru 0.000 0.500 0.500
Ru 0.065 0.798 0.500
Ru 0.202 0.065 0.500
Ru 0.298 0.565 0.500
Ru 0.435 0.298 0.500
Ru 0.500 0.000 0.500
Ru 0.565 0.702 0.500
Ru 0.702 0.435 0.500
Ru 0.798 0.935 0.500
Ru 0.935 0.202 0.500

Results
symmetry = No. 127
N(E_F) = 0.936 states/eV/atom
density = 8.59 g/cm3
size of the total moment = 1.777 μB/cell
calculated formation energy = -30.1 kJ/mol of atoms

=====

Record 7
Material: Sc4GaSnRu2
Method: DFT, GGA-PBE
State: relaxed

abc: 8.157 8.157 8.157
angles: 33.55 33.55 33.55
Sites, in units of the cell vectors:
Sc 0.121 0.121 0.121
Sc 0.372 0.372 0.372
Sc 0.628 0.628 0.628
Sc 0.879 0.879 0.879
Ga 0.000 0.000 0.000
Sn 0.500 0.500 0.500
Ru 0.250 0.250 0.250
Ru 0.750 0.750 0.750

Results
symmetry = No. 166
N(E_F) = 0.326 states/eV/atom
density = 6.42 g/cm3
size of the total moment = 0.000 μB/cell
calculated formation energy = -55.4 kJ/mol of atoms

=====

Record 8
Material: ScGaSnRu
Method: DFT, GGA-PBE
State: relaxed

abc: 4.628 4.628 4.628
angles: 60.00 60.00 60.00
Sites, in units of the cell vectors:
Sc 0.000 0.000 0.000
Ga 0.750 0.750 0.750
Sn 0.250 0.250 0.250
Ru 0.500 0.500 0.500

Results
symmetry = No. 216
N(E_F) = 0.453 states/eV/atom
density = 7.92 g/cm3
size of the total moment = 0.000 μB/cell
calculated formation energy = -36.3 kJ/mol of atoms

=====

Please write out number 8 again, unchanged.
Material: ScGaSnRu
Method: DFT, GGA-PBE
State: relaxed

abc: 4.628 4.628 4.628
angles: 60.00 60.00 60.00
Sites, in units of the cell vectors:
Sc 0.000 0.000 0.000
Ga 0.750 0.750 0.750
Sn 0.250 0.250 0.250
Ru 0.500 0.500 0.500

Results
symmetry = No. 216
N(E_F) = 0.453 states/eV/atom
density = 7.92 g/cm3
size of the total moment = 0.000 μB/cell
calculated formation energy = -36.3 kJ/mol of atoms

=====

Look up the size of the total moment of the sixth one. 1.777 μB/cell

=====

The highest N(E_F) belongs to which entry? Sc2Ga2SiRu5